Entry 1:
10
Lattice="8.270 -0.700 1.846 -0.501 6.939 -0.343 4.996 2.850 5.087" Properties=species:S:1:pos:R:3 comment="LiLa2CdAu6, optimized geometry, DFT PBE-GGA" formation_energy_mev_per_atom=-557 final_energy_ev_per_atom=-3.791 rho_g_cm3=11.3 sg=P-1 pbc="T T T"
Au 2.448 0.916 1.228
Au 2.206 5.066 0.946
Au 6.800 5.651 4.176
Au 10.318 8.174 5.362
Au 5.965 3.438 2.414
Au 10.559 4.024 5.644
Cd 0.000 0.000 0.000
Li 3.885 3.120 0.752
La 8.461 2.316 3.727
La 4.304 6.774 2.863

=====

Entry 2:
15
Lattice="0.894 -8.762 2.211 -0.499 -6.381 -6.441 6.664 -4.617 -2.343" Properties=species:S:1:pos:R:3 comment="CeTl8Hg6, optimized geometry, DFT PBE-GGA" formation_energy_mev_per_atom=3 final_energy_ev_per_atom=-1.775 rho_g_cm3=10.5 sg=R-3 pbc="T T T"
Tl 2.236 -12.106 -5.210
Tl 6.816 -14.719 -5.147
Tl 2.851 -10.683 -0.249
Tl 0.243 -5.040 -1.426
Tl 4.969 -12.684 -2.660
Tl 4.208 -9.076 -6.323
Tl 4.823 -7.654 -1.362
Tl 2.090 -7.075 -3.912
Hg 5.995 -10.501 -0.682
Hg 5.373 -11.901 -5.688
Hg 5.230 -6.842 -4.347
Hg 1.686 -7.859 -0.885
Hg 1.829 -12.918 -2.225
Hg 1.064 -9.259 -5.891
Ce 0.000 0.000 0.000

=====

Repeat the first record exactly.
10
Lattice="8.270 -0.700 1.846 -0.501 6.939 -0.343 4.996 2.850 5.087" Properties=species:S:1:pos:R:3 comment="LiLa2CdAu6, optimized geometry, DFT PBE-GGA" formation_energy_mev_per_atom=-557 final_energy_ev_per_atom=-3.791 rho_g_cm3=11.3 sg=P-1 pbc="T T T"
Au 2.448 0.916 1.228
Au 2.206 5.066 0.946
Au 6.800 5.651 4.176
Au 10.318 8.174 5.362
Au 5.965 3.438 2.414
Au 10.559 4.024 5.644
Cd 0.000 0.000 0.000
Li 3.885 3.120 0.752
La 8.461 2.316 3.727
La 4.304 6.774 2.863